(1)
VASP calculation (PBE-GGA) on a geometry-optimized DyCd2Hg4 structure.

Results
Total moment in μB per cell: 0.000
Total energy in eV for the cell shown: -26.82
Crystal system: trigonal
ΔH_f (0 K) in eV/f.u.: -1.30
D(E_F) in states/eV per atom: 0.585

```
data_DyCd2Hg4
_chemical_formula_sum 'Dy3 Cd6 Hg12'
_cell_length_a 4.9988
_cell_length_b 4.9988
_cell_length_c 24.3549
_cell_angle_alpha 90.00
_cell_angle_beta 90.00
_cell_angle_gamma 120.00
_space_group_name_H-M_alt 'R -3 m'
_space_group_IT_number 166
_space_group_name_Hall '-R 3 2"'
loop_
_atom_site_label
_atom_site_type_symbol
_atom_site_fract_x
_atom_site_fract_y
_atom_site_fract_z
_atom_site_occupancy
Dy1 Dy 0.0000 0.0000 0.0000 1
Cd1 Cd 0.0000 0.0000 0.2538 1
Hg1 Hg 0.0000 0.0000 0.1324 1
Hg2 Hg 0.0000 0.0000 0.3855 1
```

(2)
VASP calculation (PBE-GGA) on a geometry-optimized Ga2NiTe structure.

Results
Total moment in μB per cell: 0.000
Total energy in eV for the cell shown: -58.57
Crystal system: tetragonal
D(E_F) in states/eV per atom: 0.411
Raw formation energy in kcal/mol of atoms: 1.92

```
data_Ga2NiTe
_chemical_formula_sum 'Ga8 Ni4 Te4'
_cell_length_a 6.112
_cell_length_b 6.112
_cell_length_c 10.805
_cell_angle_alpha 90.00
_cell_angle_beta 90.00
_cell_angle_gamma 90.00
_space_group_name_H-M_alt 'I -4 2 d'
_space_group_IT_number 122
_space_group_name_Hall 'I -4 2bw'
loop_
_atom_site_label
_atom_site_type_symbol
_atom_site_fract_x
_atom_site_fract_y
_atom_site_fract_z
_atom_site_occupancy
Ga1 Ga 0.187 0.250 0.125 1
Ni1 Ni 0.000 0.000 0.000 1
Te1 Te 0.000 0.000 0.500 1
```

(3)
VASP calculation (PBE-GGA) on a geometry-optimized ScU2Te2S2 structure.

Results
Total moment in μB per cell: 3.252
Total energy in eV for the cell shown: -100.13
Crystal system: tetragonal
D(E_F) in states/eV per atom: 0.937
Raw formation energy in kcal/mol of atoms: -21.81

```
data_ScU2Te2S2
_chemical_formula_sum 'Sc2 U4 Te4 S4'
_cell_length_a 5.024
_cell_length_b 5.024
_cell_length_c 14.253
_cell_angle_alpha 90.00
_cell_angle_beta 90.00
_cell_angle_gamma 90.00
_space_group_name_H-M_alt 'I 4/m m m'
_space_group_IT_number 139
_space_group_name_Hall '-I 4 2'
loop_
_atom_site_label
_atom_site_type_symbol
_atom_site_fract_x
_atom_site_fract_y
_atom_site_fract_z
_atom_site_occupancy
Sc1 Sc 0.000 0.000 0.000 1
U1 U 0.000 0.000 0.415 1
Te1 Te 0.000 0.000 0.195 1
S1 S 0.000 0.500 0.000 1
```

(4)
VASP calculation (PBE-GGA) on a geometry-optimized YPb2Se4 structure.

Results
Total moment in μB per cell: 0.000
Total energy in eV for the cell shown: -135.69
Crystal system: orthorhombic
D(E_F) in states/eV per atom: 0.575
Raw formation energy in kcal/mol of atoms: -20.11

```
data_YPb2Se4
_chemical_formula_sum 'Y4 Pb8 Se16'
_cell_length_a 4.112
_cell_length_b 14.228
_cell_length_c 13.793
_cell_angle_alpha 90.00
_cell_angle_beta 90.00
_cell_angle_gamma 90.00
_space_group_name_H-M_alt 'C m c m'
_space_group_IT_number 63
_space_group_name_Hall '-C 2c 2'
loop_
_atom_site_label
_atom_site_type_symbol
_atom_site_fract_x
_atom_site_fract_y
_atom_site_fract_z
_atom_site_occupancy
Y1 Y 0.000 0.106 0.250 1
Pb1 Pb 0.000 0.366 0.064 1
Se1 Se 0.000 0.000 0.000 1
Se2 Se 0.000 0.289 0.638 1
Se3 Se 0.000 0.465 0.250 1
```

(5)
VASP calculation (PBE-GGA) on a geometry-optimized ErInHg2 structure.

Results
Total moment in μB per cell: 0.139
Total energy in eV for the cell shown: -8.95
Crystal system: tetragonal
ΔH_f (0 K) in eV/f.u.: -1.04
D(E_F) in states/eV per atom: 0.616

```
data_ErInHg2
_chemical_formula_sum 'Er1 In1 Hg2'
_cell_length_a 3.699
_cell_length_b 3.699
_cell_length_c 7.242
_cell_angle_alpha 90.00
_cell_angle_beta 90.00
_cell_angle_gamma 90.00
_space_group_name_H-M_alt 'P 4/m m m'
_space_group_IT_number 123
_space_group_name_Hall '-P 4 2'
loop_
_atom_site_label
_atom_site_type_symbol
_atom_site_fract_x
_atom_site_fract_y
_atom_site_fract_z
_atom_site_occupancy
Er1 Er 0.000 0.000 0.000 1
In1 In 0.000 0.000 0.500 1
Hg1 Hg 0.500 0.500 0.248 1
```

(6)
VASP calculation (PBE-GGA) on a geometry-optimized RuPbF6 structure.

Results
Total moment in μB per cell: 2.000
Total energy in eV for the cell shown: -40.11
Crystal system: trigonal
D(E_F) in states/eV per atom: 0.901
Raw formation energy in kcal/mol of atoms: -45.83

```
data_RuPbF6
_chemical_formula_sum 'Ru1 Pb1 F6'
_cell_length_a 5.5131
_cell_length_b 5.5131
_cell_length_c 5.2585
_cell_angle_alpha 90.00
_cell_angle_beta 90.00
_cell_angle_gamma 120.00
_space_group_name_H-M_alt 'P 3 1 2'
_space_group_IT_number 149
loop_
_space_group_symop_operation_xyz
'x,y,z'
'-y,x-y,z'
'-x+y,-x,z'
'-y,-x,-z'
'-x+y,y,-z'
'x,x-y,-z'
loop_
_atom_site_label
_atom_site_type_symbol
_atom_site_fract_x
_atom_site_fract_y
_atom_site_fract_z
_atom_site_occupancy
Ru1 Ru 0.0000 0.0000 0.0000 1
Pb1 Pb 0.3333 0.6667 0.5000 1
F1 F 0.2884 0.0029 0.2185 1
```

(7)
VASP calculation (PBE-GGA) on a geometry-optimized PrCdRh2 structure.

Results
Total moment in μB per cell: 0.000
Total energy in eV for the cell shown: -21.77
Crystal system: tetragonal
ΔH_f (0 K) in eV/f.u.: -1.38
D(E_F) in states/eV per atom: 0.641

```
data_PrCdRh2
_chemical_formula_sum 'Pr1 Cd1 Rh2'
_cell_length_a 3.468
_cell_length_b 3.468
_cell_length_c 6.529
_cell_angle_alpha 90.00
_cell_angle_beta 90.00
_cell_angle_gamma 90.00
_space_group_name_H-M_alt 'P 4/m m m'
_space_group_IT_number 123
_space_group_name_Hall '-P 4 2'
loop_
_atom_site_label
_atom_site_type_symbol
_atom_site_fract_x
_atom_site_fract_y
_atom_site_fract_z
_atom_site_occupancy
Pr1 Pr 0.000 0.000 0.000 1
Cd1 Cd 0.000 0.000 0.500 1
Rh1 Rh 0.500 0.500 0.270 1
```

(8)
VASP calculation (PBE-GGA) on a geometry-optimized Hf4NbAl2 structure.

Results
Total moment in μB per cell: 0.000
Energy relative to the lowest polymorph listed for this composition in eV per atom: 0.000
Total energy in eV for the cell shown: -115.58
Crystal system: orthorhombic
ΔH_f (0 K) in eV/f.u.: -0.42
D(E_F) in states/eV per atom: 1.246

```
data_Hf4NbAl2
_chemical_formula_sum 'Hf8 Nb2 Al4'
_cell_length_a 7.510
_cell_length_b 9.382
_cell_length_c 4.159
_cell_angle_alpha 90.00
_cell_angle_beta 90.00
_cell_angle_gamma 90.00
_space_group_name_H-M_alt 'C m m m'
_space_group_IT_number 65
_space_group_name_Hall '-C 2 2'
loop_
_atom_site_label
_atom_site_type_symbol
_atom_site_fract_x
_atom_site_fract_y
_atom_site_fract_z
_atom_site_occupancy
Hf1 Hf 0.213 0.000 0.000 1
Hf2 Hf 0.250 0.250 0.500 1
Nb1 Nb 0.000 0.500 0.500 1
Al1 Al 0.000 0.282 0.000 1
```

(9)
VASP calculation (PBE-GGA) on a geometry-optimized HfPaSb2 structure.

Results
Total moment in μB per cell: 0.003
Energy relative to the lowest polymorph listed for this composition in eV per atom: 0.018
Total energy in eV for the cell shown: -29.30
Crystal system: tetragonal
D(E_F) in states/eV per atom: 1.425
Raw formation energy in kcal/mol of atoms: -9.28

```
data_HfPaSb2
_chemical_formula_sum 'Hf1 Pa1 Sb2'
_cell_length_a 5.074
_cell_length_b 5.074
_cell_length_c 3.743
_cell_angle_alpha 90.00
_cell_angle_beta 90.00
_cell_angle_gamma 90.00
_space_group_name_H-M_alt 'P 4/m m m'
_space_group_IT_number 123
_space_group_name_Hall '-P 4 2'
loop_
_atom_site_label
_atom_site_type_symbol
_atom_site_fract_x
_atom_site_fract_y
_atom_site_fract_z
_atom_site_occupancy
Hf1 Hf 0.000 0.000 0.000 1
Pa1 Pa 0.500 0.500 0.000 1
Sb1 Sb 0.000 0.500 0.500 1
```

(10)
VASP calculation (PBE-GGA) on a geometry-optimized TaI2OF structure.

Results
Total moment in μB per cell: 0.000
Energy relative to the lowest polymorph listed for this composition in eV per atom: 0.000
Total energy in eV for the cell shown: -26.61
Crystal system: tetragonal
D(E_F) in states/eV per atom: 0.812
Raw formation energy in kcal/mol of atoms: -22.27

```
data_TaI2OF
_chemical_formula_sum 'Ta1 I2 O1 F1'
_cell_length_a 5.488
_cell_length_b 5.488
_cell_length_c 3.867
_cell_angle_alpha 90.00
_cell_angle_beta 90.00
_cell_angle_gamma 90.00
_space_group_name_H-M_alt 'P 4/m m m'
_space_group_IT_number 123
_space_group_name_Hall '-P 4 2'
loop_
_atom_site_label
_atom_site_type_symbol
_atom_site_fract_x
_atom_site_fract_y
_atom_site_fract_z
_atom_site_occupancy
Ta1 Ta 0.000 0.000 0.000 1
I1 I 0.000 0.500 0.000 1
O1 O 0.000 0.000 0.500 1
F1 F 0.500 0.500 0.500 1
```

(11)
VASP calculation (PBE-GGA) on a geometry-optimized Sr3SnPt8 structure.

Results
Total moment in μB per cell: 0.000
Total energy in eV for the cell shown: -198.61
Crystal system: trigonal
ΔH_f (0 K) in eV/f.u.: -8.83
D(E_F) in states/eV per atom: 0.633

```
data_Sr3SnPt8
_chemical_formula_sum 'Sr9 Sn3 Pt24'
_cell_length_a 5.5592
_cell_length_b 5.5592
_cell_length_c 26.8553
_cell_angle_alpha 90.00
_cell_angle_beta 90.00
_cell_angle_gamma 120.00
_space_group_name_H-M_alt 'R 3 m'
_space_group_IT_number 160
_space_group_name_Hall 'R 3 -2"'
loop_
_atom_site_label
_atom_site_type_symbol
_atom_site_fract_x
_atom_site_fract_y
_atom_site_fract_z
_atom_site_occupancy
Sr1 Sr 0.0000 0.0000 0.0000 1
Sr2 Sr 0.0000 0.0000 0.1269 1
Sr3 Sr 0.0000 0.0000 0.5069 1
Sn1 Sn 0.0000 0.0000 0.6344 1
Pt1 Pt 0.0000 0.0000 0.3133 1
Pt2 Pt 0.0000 0.0000 0.8139 1
Pt3 Pt 0.0013 0.5006 0.5651 1
Pt4 Pt 0.1673 0.3347 0.3962 1
```

(12)
VASP calculation (PBE-GGA) on a geometry-optimized BaLi2In2 structure.

Results
Total moment in μB per cell: 0.000
Energy relative to the lowest polymorph listed for this composition in eV per atom: 0.000
Total energy in eV for the cell shown: -25.50
Crystal system: tetragonal
ΔH_f (0 K) in eV/f.u.: -1.52
D(E_F) in states/eV per atom: 0.510

```
data_BaLi2In2
_chemical_formula_sum 'Ba2 Li4 In4'
_cell_length_a 5.223
_cell_length_b 5.223
_cell_length_c 10.323
_cell_angle_alpha 90.00
_cell_angle_beta 90.00
_cell_angle_gamma 90.00
_space_group_name_H-M_alt 'I 4/m m m'
_space_group_IT_number 139
_space_group_name_Hall '-I 4 2'
loop_
_atom_site_label
_atom_site_type_symbol
_atom_site_fract_x
_atom_site_fract_y
_atom_site_fract_z
_atom_site_occupancy
Ba1 Ba 0.000 0.000 0.000 1
Li1 Li 0.000 0.500 0.250 1
In1 In 0.000 0.000 0.362 1
```